# ScBeOs

An optimized crystal structure of ScBeOs (GGA-PBE, the Alexandria database). Values from VASP.

Structure (Quantum ESPRESSO input):
```
&SYSTEM
  ibrav = 0, nat = 6, ntyp = 3
/
ATOMIC_SPECIES
Sc 44.96 Sc.upf
Be 9.01 Be.upf
Os 190.23 Os.upf
CELL_PARAMETERS angstrom
4.967 -0.060 0.044
-2.466 4.312 -0.044
-2.369 -1.468 4.112
ATOMIC_POSITIONS angstrom
Sc -1.156 -0.751 3.617
Sc 1.288 3.535 0.495
Be -2.417 1.422 2.034
Be 1.299 -0.764 2.078
Os 0.066 1.392 2.056
Os -1.233 2.156 -0.022
```

## Properties
- SG: Imma
- Energy of formation: -9.2 kcal/mol of atoms

# Tl2AgTeI6

An optimized crystal structure of Tl2AgTeI6 (GGA-PBE, the Alexandria database). Values from VASP.

Structure (Quantum ESPRESSO input):
```
&SYSTEM
  ibrav = 0, nat = 20, ntyp = 4
/
ATOMIC_SPECIES
Tl 204.38 Tl.upf
Ag 107.87 Ag.upf
Te 127.60 Te.upf
I 126.90 I.upf
CELL_PARAMETERS angstrom
-0.664 2.656 7.311
-1.020 -8.416 2.965
11.675 -0.647 2.180
ATOMIC_POSITIONS angstrom
Tl 2.164 -7.458 3.617
Tl 7.943 -4.202 7.569
Tl 7.827 1.051 8.838
Tl 2.049 -2.205 4.886
Ag -0.332 1.328 3.655
Ag 5.328 -4.532 2.572
Te 5.506 1.004 4.745
Te -0.510 -4.208 1.482
I -0.378 -4.892 4.374
I 4.977 -5.133 9.558
I 10.369 -1.515 8.081
I 5.015 -1.274 2.897
I 4.300 -5.005 5.069
I 9.610 -5.613 10.382
I 5.692 -1.402 7.386
I 0.382 -0.794 2.073
I 1.725 -2.136 8.505
I 7.413 -7.765 7.340
I 8.266 -4.271 3.951
I 2.579 1.358 5.115
```

## Properties
- Uncorrected formation energy: -316 meV/atom
- SG: P2_1/c

# TlHg2AuO4

An optimized crystal structure of TlHg2AuO4 (GGA-PBE, the Alexandria database). Values from VASP.

Structure (Quantum ESPRESSO input):
```
&SYSTEM
  ibrav = 0, nat = 8, ntyp = 4
/
ATOMIC_SPECIES
Tl 204.38 Tl.upf
Hg 200.59 Hg.upf
Au 196.97 Au.upf
O 16.00 O.upf
CELL_PARAMETERS angstrom
6.126 -0.637 -0.977
-3.187 5.271 0.977
-3.187 -1.227 5.218
ATOMIC_POSITIONS angstrom
Tl -0.124 0.079 3.669
Hg -0.124 3.327 1.549
Hg 0.000 0.000 0.000
Au -3.187 2.022 3.097
O 0.636 1.160 1.884
O -2.320 -0.115 3.398
O 3.717 2.478 0.221
O -2.529 3.290 4.933
```

## Properties
- Uncorrected formation energy: -120 meV/atom
- SG: I-4

# La2Tb3DyEr6

An optimized crystal structure of La2Tb3DyEr6 (GGA-PBE, the Alexandria database). Values from VASP.

Structure (Quantum ESPRESSO input):
```
&SYSTEM
  ibrav = 0, nat = 12, ntyp = 4
/
ATOMIC_SPECIES
La 138.91 La.upf
Tb 158.93 Tb.upf
Dy 162.50 Dy.upf
Er 167.26 Er.upf
CELL_PARAMETERS angstrom
-1.053 3.559 4.940
-4.739 -2.561 -3.027
2.582 -9.645 6.213
ATOMIC_POSITIONS angstrom
La -3.510 -0.520 -0.370
La -2.282 1.518 2.284
Tb -2.834 -6.364 1.406
Tb -0.376 -2.283 6.720
Tb -1.605 -4.324 4.063
Dy 0.000 0.000 0.000
Er -1.800 -5.435 7.395
Er -3.703 -1.697 3.017
Er -1.410 -3.212 0.731
Er -3.025 -7.468 4.748
Er 0.494 -6.950 5.110
Er -0.185 -1.179 3.379
```

## Properties
- SG: C2/m
- Energy of formation: 0.5 kcal/mol of atoms

# ZnTc2Se

An optimized crystal structure of ZnTc2Se (GGA-PBE, the Alexandria database). Values from VASP.

Structure (Quantum ESPRESSO input):
```
&SYSTEM
  ibrav = 0, nat = 4, ntyp = 3
/
ATOMIC_SPECIES
Se 78.96 Se.upf
Tc 98.00 Tc.upf
Zn 65.41 Zn.upf
CELL_PARAMETERS angstrom
2.791 0.000 0.000
-1.160 2.539 0.000
0.000 0.000 9.150
ATOMIC_POSITIONS angstrom
Se 0.816 1.269 7.049
Tc 0.000 0.000 0.116
Tc 0.816 1.269 2.193
Zn 0.000 0.000 4.366
```

## Properties
- Uncorrected formation energy: 347 meV/atom
- SG: Cmm2
- Relative energy among the computed polymorphs: 0.2964 eV/atom

# SrPrI6

An optimized crystal structure of SrPrI6 (GGA-PBE, the Alexandria database). Values from VASP.

Structure (Quantum ESPRESSO input):
```
&SYSTEM
  ibrav = 0, nat = 8, ntyp = 3
/
ATOMIC_SPECIES
Sr 87.62 Sr.upf
Pr 140.91 Pr.upf
I 126.90 I.upf
CELL_PARAMETERS angstrom
-0.274 6.669 -4.458
-5.676 5.503 1.354
2.058 7.227 3.477
ATOMIC_POSITIONS angstrom
Sr 0.000 0.000 0.000
Pr -1.946 9.699 0.186
I -1.008 8.329 2.865
I 0.952 10.714 -0.524
I -1.166 7.010 -1.273
I -4.843 8.685 0.897
I -2.883 11.070 -2.492
I -2.725 12.388 1.646
```

## Properties
- Uncorrected formation energy: -1204 meV/atom
- SG: P-1

Table of DOS at the Fermi energy (states/eV per cell), in record order: 4.43; 9.17; 4.87; 15.11; 3.67; 14.47